# 1
Ho4CBr2Cl2F | OQMD | GGA-PBE | relaxed; calculated density = 6.9 g/cm3; calculated volume = 222.1 Å³/cell; total magnetic moment = 0.021 Bohr magnetons per cell; VASP energy = -5.36 eV per atom
1.0
-1.940 6.791 -5.078
0.126 4.775 -7.270
-5.725 -4.358 -1.388
Br C Cl F Ho
2 1 2 1 4
Cartesian
-2.413 0.261 -2.514
-5.126 6.947 -11.222
-0.907 5.783 -6.174
-2.496 8.802 -10.450
-5.042 -1.594 -3.286
-3.769 3.604 -6.868
-1.594 7.092 -8.026
-3.097 10.525 -12.601
-4.441 -3.317 -1.135
-5.944 0.117 -5.710

=====

# 2
DyZrTlC | OQMD | GGA-PBE | relaxed; calculated density = 9.5 g/cm3; calculated volume = 164.6 Å³/cell; total magnetic moment = 0.100 Bohr magnetons per cell; offset from the most stable computed form = 0.00 eV per formula unit
1.0
-0.532 -3.290 -0.989
2.611 0.764 2.165
-9.564 -2.150 12.292
C Dy Tl Zr
2 2 2 2
Cartesian
-2.232 -0.502 2.869
-7.332 -1.648 9.423
-2.615 -2.642 4.085
-5.919 -3.385 8.331
0.516 -1.939 0.062
-3.219 -1.663 7.259
0.022 -0.934 3.094
-6.460 -2.391 11.424

=====

# 3
PmAg5 | OQMD | GGA-PBE | relaxed; calculated density = 9.4 g/cm3; calculated volume = 121.0 Å³/cell; total magnetic moment = 0.000 Bohr magnetons per cell; VASP energy = -3.33 eV per atom
1.0
4.540 1.537 2.800
-0.487 2.985 4.655
1.146 -2.314 4.914
Ag Pm
5 1
Cartesian
2.676 2.530 5.278
1.300 0.552 3.092
3.489 -0.106 5.407
3.247 1.379 7.722
0.988 0.614 6.330
0.000 0.000 0.000

=====

# 4
Ho4C7 | OQMD | GGA-PBE | relaxed; calculated density = 7.9 g/cm3; calculated volume = 312.6 Å³/cell; total magnetic moment = 0.009 Bohr magnetons per cell; offset from the most stable computed form = 0.04 eV per formula unit
1.0
3.680 0.000 -0.056
0.000 13.677 0.000
-1.520 0.000 6.233
C Ho
14 8
Cartesian
0.000 0.000 0.000
1.334 9.531 0.287
0.910 8.268 0.304
1.855 10.735 0.474
1.065 3.896 2.586
2.010 1.429 2.757
1.586 2.692 2.773
-0.760 6.838 3.116
0.574 10.985 3.404
0.150 12.248 3.420
1.095 9.781 3.590
0.305 2.942 5.703
1.250 5.409 5.873
0.826 4.146 5.890
-0.058 2.229 0.979
0.982 6.092 1.467
1.938 12.931 1.594
2.978 9.067 2.082
-0.818 4.610 4.095
0.222 0.746 4.583
1.178 7.585 4.710
2.218 11.448 5.198

=====

# 5
HgBIr | OQMD | GGA-PBE | relaxed; calculated density = 15.4 g/cm3; calculated volume = 43.6 Å³/cell; total magnetic moment = 0.012 Bohr magnetons per cell; offset from the most stable computed form = 0.00 eV per formula unit
1.0
0.000 2.793 2.793
2.793 0.000 2.793
2.793 2.793 0.000
B Hg Ir
1 1 1
Cartesian
0.000 0.000 0.000
1.397 1.397 1.397
4.190 4.190 4.190

=====

# 6
SrTaNO2 | OQMD | GGA-PBE | relaxed; calculated density = 7.9 g/cm3; calculated volume = 263.1 Å³/cell; total magnetic moment = 0.012 Bohr magnetons per cell; VASP energy = -8.76 eV per atom
1.0
-3.189 1.741 -4.437
0.622 -5.173 -2.454
-6.545 -2.563 3.747
N O Sr Ta
4 8 4 4
Cartesian
-0.454 -3.467 -2.828
-2.083 -2.696 -5.060
-5.630 -1.289 -1.940
-4.068 -2.268 0.260
-2.944 -2.080 -2.382
-1.641 -0.887 0.739
-5.058 -3.673 -3.483
-3.496 -4.689 -1.303
-4.312 -6.818 0.482
-6.198 -3.884 -0.834
-7.041 -3.246 1.839
-8.668 -2.510 -0.413
-4.506 -1.509 -4.676
-2.605 -4.965 -3.675
-6.494 -1.076 0.645
-7.781 -2.790 -2.790
-1.251 -1.827 -3.418
-2.557 -3.380 -6.785
-6.428 0.349 -2.535
-4.546 -2.946 -1.465

=====

# 7
CuSiIrPb | OQMD | GGA-PBE | relaxed; calculated density = 12.2 g/cm3; calculated volume = 66.9 Å³/cell; total magnetic moment = 0.003 Bohr magnetons per cell; offset from the most stable computed form = 0.00 eV per formula unit
1.0
4.043 -2.034 -0.534
0.364 -4.514 0.504
0.758 -2.645 -3.633
Cu Ir Pb Si
1 1 1 1
Cartesian
3.873 -6.895 -2.747
1.291 -2.298 -0.916
2.582 -4.597 -1.832
0.000 0.000 0.000

=====

# 8
CuF2 | OQMD | GGA-PBE | relaxed; calculated density = 4.9 g/cm3; calculated volume = 68.7 Å³/cell; VASP energy = -3.87 eV per atom
1.0
-3.478 -0.789 -1.383
0.944 -2.422 3.847
0.272 4.590 1.640
Cu F
2 4
Cartesian
-2.699 -1.457 1.915
0.438 2.836 2.189
-0.955 -1.066 2.595
0.608 1.085 2.743
-1.306 2.445 1.508
0.273 4.589 1.640

=====

# 9
TaCl5 | OQMD | GGA-PBE | relaxed; calculated density = 3.1 g/cm3; calculated volume = 381.7 Å³/cell; total magnetic moment = 0.004 Bohr magnetons per cell; offset from the most stable computed form = 0.12 eV per formula unit
1.0
7.321 0.000 0.000
0.000 8.049 0.000
0.000 0.000 6.477
Cl Ta
10 2
Cartesian
1.950 4.025 0.940
5.371 4.025 0.940
3.661 0.000 2.097
0.000 1.692 2.130
0.000 6.357 2.130
3.661 2.332 4.347
3.661 5.717 4.347
0.000 4.025 4.380
1.711 0.000 5.536
5.611 0.000 5.536
0.000 4.025 2.104
3.661 0.000 4.373

=====

# 10
RbSmYTe3 | OQMD | GGA-PBE | relaxed; calculated density = 4.9 g/cm3; calculated volume = 481.5 Å³/cell; total magnetic moment = 0.138 Bohr magnetons per cell; VASP energy = -4.84 eV per atom
1.0
-6.655 3.411 -4.507
2.986 -3.202 7.554
3.395 11.028 3.333
Rb Sm Te Y
2 2 6 2
Cartesian
1.362 1.251 5.294
-1.636 9.986 1.086
0.000 0.000 0.000
1.697 5.514 1.666
-2.911 1.443 0.135
-5.135 5.708 -2.835
-1.519 5.966 1.502
1.245 5.271 4.878
4.862 5.529 9.214
2.638 9.794 6.244
-1.317 3.089 1.941
1.044 8.148 4.438

=====

# 11
Sr2DyS3 | OQMD | GGA-PBE | relaxed; calculated density = 4.8 g/cm3; calculated volume = 149.5 Å³/cell; total magnetic moment = 0.020 Bohr magnetons per cell; VASP energy = -5.46 eV per atom
1.0
4.102 0.000 0.000
-2.051 3.552 0.000
0.000 0.000 10.257
Dy S Sr
1 3 2
Cartesian
0.000 0.000 0.000
0.000 2.368 1.529
0.000 0.000 5.129
2.051 1.184 8.729
2.051 1.184 3.354
0.000 2.368 6.903

=====

# 12
Y3Ni4Ge | OQMD | GGA-PBE | relaxed; calculated density = 6.6 g/cm3; calculated volume = 144.1 Å³/cell; total magnetic moment = 0.001 Bohr magnetons per cell; VASP energy = -6.20 eV per atom
1.0
5.244 0.000 0.000
0.000 4.144 0.000
-0.528 0.000 6.631
Ge Ni Y
1 4 3
Cartesian
1.633 0.000 4.412
3.149 0.000 0.116
0.659 2.072 3.457
4.381 0.000 3.631
1.370 2.072 6.034
0.579 0.000 1.267
3.136 2.072 2.163
3.956 2.072 5.445